[1]
VASP calculation (GGA-PBE) on crystalline Y2Se2Br at its relaxed geometry.

```
Y2Se2Br
1.0
7.979 0.000 0.000
0.000 7.979 0.000
0.000 0.000 3.776
Y Se Br
4 4 2
Cartesian
1.219 2.771 0.000 Y
2.771 6.760 0.000 Y
5.208 1.219 0.000 Y
6.760 5.208 0.000 Y
1.126 5.115 1.888 Se
2.863 1.126 1.888 Se
5.115 6.853 1.888 Se
6.853 2.863 1.888 Se
0.000 0.000 0.000 Br
3.989 3.989 0.000 Br
```

Calculated values
VASP energy = -6.07 eV per atom
uncorrected formation energy = -1.754 eV/atom
mass density = 5.74 g/cm³
relative energy among the computed polymorphs = 71.6 meV/atom
N(E_F) = 1.1 states/eV/f.u.
calculated volume = 240 Å³ per cell
SG = P4/mbm (127)

---

[2]
VASP calculation (GGA-PBE) on crystalline YSeBr4 at its relaxed geometry.

```
YSeBr4
1.0
0.000 4.295 4.295
4.295 0.000 4.295
4.295 4.295 0.000
Y Se Br
1 1 4
Cartesian
0.000 0.000 0.000 Y
2.147 2.147 2.147 Se
5.369 3.220 3.220 Br
3.220 5.369 3.220 Br
3.220 3.220 5.369 Br
5.369 5.369 5.369 Br
```

Calculated values
VASP energy = -2.73 eV per atom
uncorrected formation energy = 0.046 eV/atom
mass density = 5.11 g/cm³
N(E_F) = 7.5 states/eV/f.u.
calculated volume = 158 Å³ per cell
SG = F-43m (216)

---

[3]
VASP calculation (GGA-PBE) on crystalline YSe3Br at its relaxed geometry.

```
YSe3Br
1.0
5.580 0.000 0.000
0.000 5.580 0.000
0.000 0.000 5.580
Y Se Br
1 3 1
Cartesian
0.000 0.000 0.000 Y
0.000 0.000 2.790 Se
0.000 2.790 0.000 Se
2.790 0.000 0.000 Se
2.790 2.790 2.790 Br
```

Calculated values
VASP energy = -3.92 eV per atom
uncorrected formation energy = -0.202 eV/atom
mass density = 3.88 g/cm³
relative energy among the computed polymorphs = 0.0 meV/atom
N(E_F) = 7.9 states/eV/f.u.
calculated volume = 174 Å³ per cell
SG = Pm-3m (221)

---

[4]
VASP calculation (GGA-PBE) on crystalline YSeBr3 at its relaxed geometry.

```
YSeBr3
1.0
5.599 0.000 0.000
0.000 5.599 0.000
0.000 0.000 5.599
Y Se Br
1 1 3
Cartesian
0.000 0.000 0.000 Y
2.800 2.800 2.800 Se
0.000 0.000 2.800 Br
0.000 2.800 0.000 Br
2.800 0.000 0.000 Br
```

Calculated values
VASP energy = -3.90 eV per atom
uncorrected formation energy = -0.911 eV/atom
mass density = 3.86 g/cm³
relative energy among the computed polymorphs = 0.0 meV/atom
N(E_F) = 4.6 states/eV/f.u.
calculated volume = 176 Å³ per cell
SG = Pm-3m (221)

---

[5]
VASP calculation (GGA-PBE) on crystalline Y2Se2Br at its relaxed geometry.

```
Y2Se2Br
1.0
6.451 -2.844 0.000
6.451 2.844 0.000
-2.688 0.000 7.798
Y Se Br
4 4 2
Cartesian
-0.622 0.000 1.861 Y
1.895 0.000 7.216 Y
8.320 0.000 0.582 Y
10.836 0.000 5.937 Y
1.973 0.000 0.700 Se
4.393 0.000 5.820 Se
5.821 0.000 1.978 Se
8.241 0.000 7.098 Se
0.510 0.000 4.584 Br
9.704 0.000 3.214 Br
```

Calculated values
VASP energy = -6.14 eV per atom
uncorrected formation energy = -1.826 eV/atom
mass density = 4.82 g/cm³
relative energy among the computed polymorphs = 0.0 meV/atom
N(E_F) = 1.7 states/eV/f.u.
calculated volume = 286 Å³ per cell
SG = C2/m (12)

---

[6]
VASP calculation (GGA-PBE) on crystalline YSe4Br2 at its relaxed geometry.

```
YSe4Br2
1.0
-2.803 2.803 7.220
2.803 -2.803 7.220
2.803 2.803 -7.220
Y Se Br
1 4 2
Cartesian
0.000 0.000 0.000 Y
2.803 0.000 0.000 Se
0.000 0.000 2.813 Se
0.000 2.803 0.000 Se
0.000 0.000 11.627 Se
0.000 0.000 5.097 Br
0.000 0.000 9.343 Br
```

Calculated values
VASP energy = -3.43 eV per atom
uncorrected formation energy = -0.038 eV/atom
mass density = 4.13 g/cm³
N(E_F) = 8.9 states/eV/f.u.
calculated volume = 227 Å³ per cell
SG = I4/mmm (139)